[1]
## RbCa2B2O6 (GGA-PBE)

Data for a relaxed structure of RbCa2B2O6.

Calculated values
* formation energy without anion corrections: -2.46 eV per atom
* D(E_F): 4.27 states/eV/f.u.
* magnetic moment: 0.093 μB per atom
* crystal system: monoclinic
* SG: No. 12

Geometry as extended XYZ:
```
11
Lattice="5.219 -3.060 0.000 5.219 3.060 0.000 -2.764 0.000 5.513" Properties=species:S:1:pos:R:3 pbc="T T T"
Rb 0.000 0.000 0.000
Ca 1.431 0.000 3.855
Ca 6.243 0.000 1.658
B 2.898 0.000 1.423
B 4.775 0.000 4.089
O 2.264 1.172 1.796
O 4.084 0.000 0.735
O 2.264 -1.172 1.796
O 5.410 1.172 3.717
O 3.590 0.000 4.778
O 5.410 -1.172 3.717
```


[2]
## Rb3CaB2O6 (GGA-PBE)

Data for a relaxed structure of Rb3CaB2O6.

Calculated values
* formation energy without anion corrections: -2.19 eV per atom
* D(E_F): 5.11 states/eV/f.u.
* magnetic moment: 0.085 μB per atom
* crystal system: trigonal
* SG: No. 164

Geometry as extended XYZ:
```
12
Lattice="5.785 0.000 0.000 -2.892 5.010 0.000 0.000 0.000 7.176" Properties=species:S:1:pos:R:3 pbc="T T T"
Rb 0.000 0.000 0.000
Rb 0.000 3.340 5.246
Rb 2.892 1.670 1.930
Ca 0.000 0.000 3.588
B 0.000 3.340 2.161
B 2.892 1.670 5.015
O 0.000 1.952 2.172
O -1.202 4.034 2.172
O 1.690 0.976 5.005
O 1.202 4.034 2.172
O 4.094 0.976 5.005
O 2.892 3.058 5.005
```


[3]
## Rb2CaBO4 (GGA-PBE)

Data for a relaxed structure of Rb2CaBO4.

Calculated values
* formation energy without anion corrections: -1.76 eV per atom
* D(E_F): 4.21 states/eV/f.u.
* magnetic moment: 0.126 μB per atom
* crystal system: orthorhombic
* SG: No. 70

Geometry as extended XYZ:
```
16
Lattice="0.000 5.725 11.754 2.592 0.000 11.754 2.592 5.725 0.000" Properties=species:S:1:pos:R:3 pbc="T T T"
Rb 1.944 4.294 1.329
Rb 3.240 7.156 7.205
Rb 1.944 4.294 16.302
Rb 3.240 7.156 22.178
Ca 0.648 1.431 2.938
Ca 4.535 10.018 20.569
B 1.944 4.294 8.815
B 3.240 7.156 14.692
O 2.758 3.371 7.950
O 2.758 5.216 9.681
O 4.054 6.234 15.557
O 1.129 3.371 9.681
O 4.054 8.079 13.826
O 1.129 5.216 7.950
O 2.425 6.234 13.826
O 2.425 8.079 15.557
```


[4]
## CaReB2O8 (GGA-PBE)

Data for a relaxed structure of CaReB2O8.

Calculated values
* formation energy without anion corrections: -1.89 eV per atom
* D(E_F): 2.48 states/eV/f.u.
* magnetic moment: 0.083 μB per atom
* crystal system: trigonal
* SG: No. 164

Geometry as extended XYZ:
```
12
Lattice="4.957 0.000 0.000 -2.478 4.293 0.000 0.000 0.000 6.557" Properties=species:S:1:pos:R:3 pbc="T T T"
Ca 0.000 0.000 0.000
Re 0.000 0.000 3.278
B 0.000 2.862 1.601
B 2.478 1.431 4.956
O 0.000 1.487 2.143
O -1.191 3.549 2.143
O 0.000 2.862 0.180
O 1.288 0.743 4.414
O 1.191 3.549 2.143
O 2.478 1.431 6.377
O 3.669 0.743 4.414
O 2.478 2.806 4.414
```


[5]
## Ca2BRhO5 (GGA-PBE)

Data for a relaxed structure of Ca2BRhO5.

Calculated values
* formation energy without anion corrections: -2.11 eV per atom
* magnetic moment: 0.000 μB per atom
* crystal system: orthorhombic
* SG: No. 36

Geometry as extended XYZ:
```
18
Lattice="1.537 -6.769 0.000 1.537 6.769 0.000 0.000 0.000 9.792" Properties=species:S:1:pos:R:3 pbc="T T T"
Ca 1.537 5.313 4.896
Ca 1.537 4.915 1.595
Ca 1.537 -4.915 6.491
Ca 1.537 -5.313 0.000
B 1.537 0.750 2.426
B 1.537 -0.750 7.321
Rh 1.537 4.124 8.505
Rh 1.537 -4.124 3.609
O 1.537 6.229 8.186
O 1.537 2.897 4.953
O 1.537 2.199 2.235
O 1.537 2.077 8.252
O 1.537 0.014 6.180
O 1.537 -0.014 1.284
O 1.537 -2.077 3.357
O 1.537 -2.199 7.131
O 1.537 -2.897 0.058
O 1.537 -6.229 3.290
```


[6]
## CaBS2O8 (GGA-PBE)

Data for a relaxed structure of CaBS2O8.

Calculated values
* formation energy without anion corrections: -1.25 eV per atom
* D(E_F): 1.37 states/eV/f.u.
* magnetic moment: 0.038 μB per atom
* crystal system: trigonal
* SG: No. 164

Geometry as extended XYZ:
```
12
Lattice="5.034 0.000 0.000 -2.517 4.359 0.000 0.000 0.000 6.478" Properties=species:S:1:pos:R:3 pbc="T T T"
Ca 0.000 0.000 0.000
B 0.000 0.000 3.239
S 0.000 2.906 1.570
S 2.517 1.453 4.907
O 0.000 1.473 2.043
O -1.241 3.623 2.043
O 0.000 2.906 0.085
O 1.275 0.736 4.434
O 1.241 3.623 2.043
O 2.517 1.453 6.392
O 3.758 0.736 4.434
O 2.517 2.887 4.434
```


[7]
## CaBSbO5 (GGA-PBE)

Data for a relaxed structure of CaBSbO5.

Calculated values
* formation energy without anion corrections: -2.14 eV per atom
* D(E_F): 0.00 states/eV/f.u.
* magnetic moment: 0.000 μB per atom
* crystal system: monoclinic
* SG: No. 15

Geometry as extended XYZ:
```
16
Lattice="3.258 -4.254 0.000 3.258 4.254 0.000 -2.964 0.000 6.453" Properties=species:S:1:pos:R:3 pbc="T T T"
Ca 1.035 2.967 4.840
Ca 2.517 -2.967 1.613
B 2.517 2.657 1.613
B 1.035 -2.657 4.840
Sb 3.258 0.000 0.000
Sb 1.776 0.000 3.227
O -1.546 0.650 5.838
O 1.499 1.822 2.363
O -0.064 -0.650 2.611
O 3.535 1.822 0.863
O 1.035 0.764 4.840
O 2.517 -0.764 1.613
O 0.017 -1.822 5.590
O 3.616 0.650 3.842
O 2.053 -1.822 4.090
O 5.098 -0.650 0.615
```


[8]
## CaScBO2 (GGA-PBE)

Data for a relaxed structure of CaScBO2.

Calculated values
* formation energy without anion corrections: -0.17 eV per atom
* D(E_F): 3.29 states/eV/f.u.
* magnetic moment: 0.000 μB per atom
* crystal system: tetragonal
* SG: No. 123

Geometry as extended XYZ:
```
5
Lattice="4.228 0.000 0.000 0.000 4.228 0.000 0.000 0.000 4.417" Properties=species:S:1:pos:R:3 pbc="T T T"
Ca 0.000 0.000 0.000
Sc 2.114 2.114 2.209
B 0.000 0.000 2.209
O 0.000 2.114 0.000
O 2.114 0.000 0.000
```


[9]
## Ca2ScB2O6 (GGA-PBE)

Data for a relaxed structure of Ca2ScB2O6.

Calculated values
* formation energy without anion corrections: -2.79 eV per atom
* D(E_F): 1.99 states/eV/f.u.
* magnetic moment: 0.000 μB per atom
* crystal system: monoclinic
* SG: No. 12

Geometry as extended XYZ:
```
11
Lattice="4.421 -2.507 0.000 4.421 2.507 0.000 -3.222 0.000 5.566" Properties=species:S:1:pos:R:3 pbc="T T T"
Ca 1.227 0.000 1.012
Ca 4.394 0.000 4.554
Sc -1.611 0.000 2.783
B 1.601 0.000 4.102
B 4.019 0.000 1.463
O 3.428 1.208 1.077
O 0.325 0.000 3.542
O 2.193 1.208 4.489
O 3.428 -1.208 1.077
O 5.295 0.000 2.024
O 2.193 -1.208 4.489
```


[10]
## CaSc3B4O12 (GGA-PBE)

Data for a relaxed structure of CaSc3B4O12.

Calculated values
* formation energy without anion corrections: -2.87 eV per atom
* D(E_F): 10.37 states/eV/f.u.
* magnetic moment: 0.046 μB per atom
* crystal system: trigonal
* SG: No. 155

Geometry as extended XYZ:
```
20
Lattice="4.931 2.847 2.688 -4.931 2.847 2.688 0.000 -5.694 2.688" Properties=species:S:1:pos:R:3 pbc="T T T"
Ca 0.000 0.000 0.000
Sc -2.700 -1.018 2.688
Sc 2.231 -1.829 2.687
Sc 0.469 2.847 2.687
B -2.221 -3.846 4.031
B 0.000 0.000 4.031
B -2.221 3.846 4.031
B 4.441 0.000 4.031
O -2.940 -2.680 3.898
O -4.034 0.000 4.031
O -0.851 -3.886 4.164
O -1.381 0.000 4.031
O -2.940 2.680 4.164
O 2.017 -3.494 4.031
O 0.690 -1.196 4.031
O -0.851 3.886 3.898
O 0.690 1.196 4.031
O 3.791 -1.206 3.898
O 2.017 3.494 4.031
O 3.791 1.206 4.164
```


[11]
## CaSc2BO (GGA-PBE)

Data for a relaxed structure of CaSc2BO.

Calculated values
* formation energy without anion corrections: 0.26 eV per atom
* D(E_F): 5.71 states/eV/f.u.
* magnetic moment: 0.000 μB per atom
* crystal system: tetragonal
* SG: No. 123

Geometry as extended XYZ:
```
5
Lattice="4.419 0.000 0.000 0.000 4.419 0.000 0.000 0.000 5.819" Properties=species:S:1:pos:R:3 pbc="T T T"
Ca 0.000 0.000 0.000
Sc 0.000 2.209 2.910
Sc 2.209 0.000 2.910
B 2.209 2.209 2.910
O 2.209 2.209 0.000
```


[12]
## CaBSe2O8 (GGA-PBE)

Data for a relaxed structure of CaBSe2O8.

Calculated values
* formation energy without anion corrections: -0.96 eV per atom
* D(E_F): 3.05 states/eV/f.u.
* magnetic moment: 0.000 μB per atom
* crystal system: trigonal
* SG: No. 164

Geometry as extended XYZ:
```
12
Lattice="5.305 0.000 0.000 -2.652 4.594 0.000 0.000 0.000 6.382" Properties=species:S:1:pos:R:3 pbc="T T T"
Ca 0.000 0.000 0.000
B 0.000 0.000 3.191
Se 0.000 3.063 1.790
Se 2.652 1.531 4.592
O 0.000 1.312 2.092
O -1.516 3.938 2.092
O 1.136 0.656 4.290
O 0.000 3.063 0.133
O 2.652 1.531 6.249
O 1.516 3.938 2.092
O 4.168 0.656 4.290
O 2.652 3.282 4.290
```